Below is an optimized crystal structure of TlMoC2, with properties calculated at the PBEsol level.

Unit cell a=4.0747 b=4.0747 c=4.0747 alpha=60.00 beta=60.00 gamma=60.00
Site moments in Bohr magnetons follow the coordinates.
Positions (direct):
C  0.2500  0.2500  0.2500  0.00
C  0.7500  0.7500  0.7500  0.00
Tl  0.5000  0.5000  0.5000  0.02
Mo  0.0000  0.0000  0.0000  0.61

Properties
- ΔH_f (0 K): 2.191 eV per atom
- VASP energy: -6.230 eV per atom
- SG: Fm-3m, No. 225